This record from Alexandria describes a geometry-optimized ReRh3 structure. The functional is GGA-PBE.

* E above lowest polymorph: 60 meV/atom
* energy of formation: -0.2 eV/f.u.

a b c (Å): 2.739 8.796 4.755
angles (deg): 90.00 90.00 90.00
Space group Imm2 (No. 44)
Inequivalent atoms, fractional coordinates:
Re: 0.000 0.000 0.000 [2 per cell]
Rh: 0.000 0.255 0.334 [4 per cell]
Rh: 0.000 0.500 0.991 [2 per cell]